Material: Ba2LiV2Si4O14
Method: DFT, PBE+U
State: optimized geometry

The structure in POSCAR format:
```
Ba2LiV2Si4O14
1.0
5.539 0.000 0.000
0.000 7.290 0.000
-2.606 0.000 7.658
Ba Li V Si O
2 1 2 4 14
Direct
0.000 0.000 0.000
0.401 0.500 0.803
0.890 0.000 0.410
0.082 0.500 0.188
0.336 0.000 0.621
0.583 0.228 0.189
0.583 0.772 0.189
0.812 0.276 0.613
0.812 0.724 0.613
0.096 0.191 0.689
0.096 0.809 0.689
0.187 0.500 0.401
0.201 0.000 0.385
0.299 0.313 0.108
0.299 0.687 0.108
0.571 0.000 0.139
0.618 0.196 0.707
0.618 0.804 0.707
0.701 0.232 0.402
0.701 0.768 0.402
0.790 0.315 0.106
0.790 0.685 0.106
0.831 0.500 0.651
```

Output
The calculation puts the uncorrected energy at -7.44 eV/atom. The energy above the most stable polymorph in this dataset is 24 meV per atom. Its space group is Pm (6).